[1]
BeZn2Ag | PBE | relaxed

Structure (extended XYZ):
```
4
Lattice="3.255 0.000 0.000 0.000 4.053 0.000 0.000 0.000 4.197" Properties=species:S:1:pos:R:3 pbc="T T T"
Be 0.000 2.027 2.099
Zn 1.627 2.027 0.000
Ag 1.627 0.000 2.099
Zn 0.000 0.000 0.000
```

Summary:
**M_tot**: 0.000 μB per formula unit
**Fermi-level density of states**: 0.7 states/eV/f.u.
**Total DFT energy (no corrections)**: -2.139 eV/atom
**SG**: Pmmm, No. 47

[2]
CsLiFeBr4 | PBE | relaxed

Structure (extended XYZ):
```
14
Lattice="6.329 0.000 -0.290 0.000 7.638 0.000 -2.827 0.000 9.958" Properties=species:S:1:pos:R:3 pbc="T T T"
Li 4.203 5.728 4.647
Cs 1.695 5.728 8.482
Br 2.085 1.909 8.920
Br 1.681 5.728 4.833
Br 1.822 1.909 4.836
Br -1.533 3.802 6.885
Fe 3.231 1.909 6.785
Cs 1.808 1.909 1.186
Br 5.036 7.621 2.783
Br 1.418 5.728 0.748
Li -0.700 1.909 5.022
Fe 0.272 5.728 2.883
Br -1.533 0.017 6.885
Br 5.036 3.835 2.783
```

Summary:
**E_form (uncorrected)**: -1.120 eV per atom
**M_tot**: 4.000 μB per formula unit
**Fermi-level density of states**: 6.7 states/eV/f.u.
**SG**: P2_1/m, No. 11

[3]
ReTeMo2 | PBE | relaxed

Structure (extended XYZ):
```
4
Lattice="-2.102 -3.345 1.742 -0.519 -1.104 -2.746 4.328 -3.206 -0.936" Properties=species:S:1:pos:R:3 pbc="T T T"
Re 1.676 -2.195 -2.193
Te 1.972 -4.774 -1.438
Mo 3.811 -4.290 -3.640
Mo -0.038 -2.862 -0.192
```

Summary:
**E_form (uncorrected)**: 0.508 eV per atom
**M_tot**: 0.000 μB per formula unit
**Fermi-level density of states**: 3.6 states/eV/f.u.
**SG**: Pm, No. 6

[4]
NdDyTlRu | PBE | relaxed

Structure (extended XYZ):
```
4
Lattice="5.169 0.000 0.000 2.584 4.476 0.000 2.584 1.492 4.220" Properties=species:S:1:pos:R:3 pbc="T T T"
Ru 2.584 1.492 1.055
Dy 5.169 2.984 2.110
Nd 0.000 0.000 0.000
Tl 7.753 4.476 3.165
```

Summary:
**M_tot**: 0.000 μB per formula unit
**Fermi-level density of states**: 2.2 states/eV/f.u.
**Total DFT energy (no corrections)**: -5.443 eV/atom
**SG**: F-43m, No. 216

[5]
NbCN2O | PBE | relaxed

Structure (extended XYZ):
```
5
Lattice="-3.187 -2.622 0.189 1.225 -1.745 -3.538 2.187 -2.514 1.997" Properties=species:S:1:pos:R:3 pbc="T T T"
C 0.113 -3.440 -0.676
N -1.593 -1.311 0.095
Nb 0.000 0.000 0.000
N 0.613 -0.872 -1.769
O 1.094 -1.257 0.999
```

Summary:
**E_form (uncorrected)**: 1.438 eV per atom
**M_tot**: 0.556 μB per formula unit
**Fermi-level density of states**: 4.2 states/eV/f.u.
**SG**: P4/mmm, No. 123

[6]
KIn2Sn2 | PBE | relaxed

Structure (extended XYZ):
```
10
Lattice="-1.794 -4.396 2.156 1.957 -2.749 -3.976 10.237 -1.275 5.920" Properties=species:S:1:pos:R:3 pbc="T T T"
Sn 0.000 0.000 0.000
Sn 5.540 -3.000 4.800
In 8.020 -3.309 6.235
In 5.119 -0.638 2.960
Sn 4.779 -1.848 0.210
K 1.648 -2.515 2.550
Sn 0.081 -3.572 -0.910
In 2.298 -1.539 -1.225
In 5.200 -4.210 2.050
K 8.671 -2.333 2.461
```

Summary:
**M_tot**: 0.000 μB per formula unit
**Fermi-level density of states**: 2.1 states/eV/f.u.
**SG**: P4/nmm, No. 129
**Relative energy among the computed polymorphs**: 0 meV/atom

[7]
Os3BrO12 | PBE | relaxed

Structure (extended XYZ):
```
32
Lattice="8.413 0.000 4.062 3.226 7.770 4.062 -0.261 -0.174 11.283" Properties=species:S:1:pos:R:3 pbc="T T T"
Br 0.724 0.483 9.243
O 2.996 2.282 8.017
O 1.773 3.497 3.536
O 4.971 2.853 4.873
O 6.221 6.254 5.123
O 7.194 6.651 12.903
O 3.212 0.297 3.199
O 3.950 4.600 9.311
O 7.739 3.348 4.918
Os 6.448 2.656 4.004
Os 2.684 3.950 8.336
O 10.230 7.295 14.577
O 3.300 5.857 3.670
O 6.056 3.273 13.760
O 3.899 0.854 11.939
O 6.962 4.772 10.821
O 9.598 4.094 13.240
O 2.725 4.338 12.495
Os 2.214 4.936 2.695
O 1.388 0.802 1.117
Os 2.939 0.152 1.503
O 6.746 0.975 3.760
Os 7.389 0.964 9.646
Br 6.673 4.455 7.664
O 5.950 1.885 9.401
O 8.522 1.892 10.560
O 2.588 4.826 6.854
Os 6.956 6.454 11.207
O 9.206 5.864 6.438
O 8.069 0.540 8.119
O 8.233 7.245 10.360
O 5.437 7.146 10.764
```

Summary:
**E_form (uncorrected)**: -0.823 eV per atom
**M_tot**: 1.005 μB per formula unit
**Fermi-level density of states**: 1.9 states/eV/f.u.
**SG**: R3c, No. 161

[8]
Sm6Sb5Br | PBE | relaxed

Structure (extended XYZ):
```
12
Lattice="7.611 0.186 1.157 1.869 6.477 3.775 0.126 0.075 7.715" Properties=species:S:1:pos:R:3 pbc="T T T"
Sm 6.548 2.973 7.542
Sm 5.865 0.719 3.840
Sm 7.056 4.936 3.658
Sb 0.664 2.179 3.839
Sm 3.058 3.766 5.105
Sb 5.411 5.539 6.253
Sm 3.742 6.019 8.806
Br 0.000 0.000 0.000
Sb 4.195 1.200 6.393
Sb 4.740 3.332 2.466
Sb 1.332 4.373 7.651
Sm 2.425 1.728 1.274
```

Summary:
**E_form (uncorrected)**: -1.208 eV per atom
**M_tot**: 0.000 μB per formula unit
**Fermi-level density of states**: 3.2 states/eV/f.u.
**SG**: C2/m, No. 12

[9]
MgFeNi2Os | PBE | relaxed

Structure (extended XYZ):
```
5
Lattice="-1.978 3.528 1.977 -0.744 -2.626 3.942 3.983 1.319 1.631" Properties=species:S:1:pos:R:3 pbc="T T T"
Ni -0.989 1.764 0.988
Os 0.000 0.000 0.000
Fe 0.631 1.110 3.775
Ni 1.992 0.659 0.815
Mg -0.372 -1.313 1.971
```

Summary:
**M_tot**: 3.229 μB per formula unit
**Fermi-level density of states**: 5.5 states/eV/f.u.
**Total DFT energy (no corrections)**: -5.167 eV/atom
**SG**: P4/mmm, No. 123

[10]
NpAlP2O8 | PBE | relaxed

Structure (extended XYZ):
```
12
Lattice="-3.421 0.294 -3.582 4.172 -2.577 -0.759 -2.954 -5.481 2.371" Properties=species:S:1:pos:R:3 pbc="T T T"
O -1.260 -7.002 0.628
O -1.064 -5.525 -1.370
O -0.988 -4.549 0.980
P -0.576 -5.733 0.079
Np 0.000 0.000 0.000
Al -1.477 -2.740 1.185
P -1.627 -2.031 -2.049
O -1.139 -2.238 -0.600
O -0.943 -0.761 -2.599
O 0.950 -5.963 0.125
O -1.215 -3.214 -2.950
O -3.152 -1.800 -2.096
```

Summary:
**E_form (uncorrected)**: -2.572 eV per atom
**M_tot**: 4.000 μB per formula unit
**Fermi-level density of states**: 1.3 states/eV/f.u.
**SG**: P-3, No. 147

[11]
K2InBi2 | PBE | relaxed

Structure (extended XYZ):
```
10
Lattice="5.083 0.000 1.205 2.596 6.866 0.370 0.057 -0.814 11.085" Properties=species:S:1:pos:R:3 pbc="T T T"
K 5.394 1.001 11.217
Bi 1.117 1.382 6.611
K 2.342 5.052 1.442
In 4.252 6.212 4.711
Bi 2.264 0.976 1.771
K 3.454 4.016 8.078
Bi 5.472 5.076 10.888
Bi 6.619 4.670 6.048
K 4.283 2.036 4.581
In 3.485 -0.160 7.948
```

Summary:
**M_tot**: 0.000 μB per formula unit
**Fermi-level density of states**: 1.3 states/eV/f.u.
**SG**: C2/m, No. 12
**Relative energy among the computed polymorphs**: 0 meV/atom

[12]
Hf3BiPt | PBE | relaxed

Structure (extended XYZ):
```
5
Lattice="-4.573 -0.522 2.489 0.106 -5.156 -0.886 2.540 -0.724 4.517" Properties=species:S:1:pos:R:3 pbc="T T T"
Hf 0.053 -2.578 -0.443
Hf -2.287 -0.261 1.244
Bi 0.000 0.000 0.000
Hf 1.270 -0.362 2.258
Pt -0.964 -3.201 3.060
```

Summary:
**M_tot**: 0.000 μB per formula unit
**Fermi-level density of states**: 4.3 states/eV/f.u.
**SG**: Pm-3m, No. 221
**Relative energy among the computed polymorphs**: 1470 meV/atom